# Sn6S5Cl

A relaxed structure of Sn6S5Cl (PBE, Alexandria via LeMat-Bulk). Values from VASP.

Summary:
raw formation energy	-0.392	eV per atom
final energy	-4.2675	eV/atom

The structure in Quantum ESPRESSO input format:
```
&SYSTEM
  ibrav = 0, nat = 12, ntyp = 3
/
ATOMIC_SPECIES
Sn 118.71 Sn.upf
S 32.06 S.upf
Cl 35.45 Cl.upf
ATOMIC_POSITIONS crystal
Sn 0.064 0.416 0.744
Sn 0.233 0.233 0.259
Sn 0.416 0.064 0.744
Sn 0.584 0.936 0.256
Sn 0.767 0.767 0.741
Sn 0.936 0.584 0.256
S 0.000 0.000 0.500
S 0.160 0.840 0.000
S 0.326 0.674 0.500
S 0.674 0.326 0.500
S 0.840 0.160 0.000
Cl 0.500 0.500 0.000
CELL_PARAMETERS angstrom
3.578 -6.576 0.000
3.578 6.576 0.000
-2.646 0.000 6.585
```

# SnS6Cl

A relaxed structure of SnS6Cl (PBE, Alexandria via LeMat-Bulk). Values from VASP.

Summary:
raw formation energy	0.035	eV per atom
final energy	-3.7913	eV/atom

The structure in Quantum ESPRESSO input format:
```
&SYSTEM
  ibrav = 0, nat = 8, ntyp = 3
/
ATOMIC_SPECIES
Sn 118.71 Sn.upf
S 32.06 S.upf
Cl 35.45 Cl.upf
ATOMIC_POSITIONS crystal
Sn 0.000 0.000 0.000
S 0.031 0.583 0.884
S 0.417 0.969 0.116
S 0.441 0.441 0.295
S 0.559 0.559 0.705
S 0.583 0.031 0.884
S 0.969 0.417 0.116
Cl 0.000 0.000 0.500
CELL_PARAMETERS angstrom
3.709 -6.455 0.000
3.709 6.455 0.000
-2.711 0.000 4.708
```

# Sn2SCl2

A relaxed structure of Sn2SCl2 (PBE, Alexandria via LeMat-Bulk). Values from VASP.

Summary:
raw formation energy	-0.715	eV per atom
final energy	-3.8807	eV/atom

The structure in Quantum ESPRESSO input format:
```
&SYSTEM
  ibrav = 0, nat = 10, ntyp = 3
/
ATOMIC_SPECIES
Sn 118.71 Sn.upf
S 32.06 S.upf
Cl 35.45 Cl.upf
ATOMIC_POSITIONS crystal
Sn 0.060 0.060 0.343
Sn 0.320 0.320 0.900
Sn 0.680 0.680 0.100
Sn 0.940 0.940 0.657
S 0.131 0.131 0.647
S 0.869 0.869 0.353
Cl 0.172 0.172 0.046
Cl 0.427 0.427 0.702
Cl 0.573 0.573 0.298
Cl 0.828 0.828 0.954
CELL_PARAMETERS angstrom
6.633 -2.901 0.000
6.633 2.901 0.000
-4.551 0.000 8.530
```

# Sn3S2Cl2

A relaxed structure of Sn3S2Cl2 (PBE, Alexandria via LeMat-Bulk). Values from VASP.

Summary:
raw formation energy	-0.657	eV per atom
final energy	-4.0796	eV/atom

The structure in Quantum ESPRESSO input format:
```
&SYSTEM
  ibrav = 0, nat = 7, ntyp = 3
/
ATOMIC_SPECIES
Sn 118.71 Sn.upf
S 32.06 S.upf
Cl 35.45 Cl.upf
ATOMIC_POSITIONS crystal
Sn 0.000 0.000 0.000
Sn 0.246 0.246 0.764
Sn 0.754 0.754 0.236
S 0.163 0.163 0.341
S 0.837 0.837 0.659
Cl 0.420 0.420 0.194
Cl 0.580 0.580 0.806
CELL_PARAMETERS angstrom
8.002 -2.041 0.000
8.002 2.041 0.000
-1.649 0.000 6.161
```

# Sn2SCl

A relaxed structure of Sn2SCl (PBE, Alexandria via LeMat-Bulk). Values from VASP.

Summary:
raw formation energy	-0.271	eV per atom
final energy	-3.7654	eV/atom

The structure in Quantum ESPRESSO input format:
```
&SYSTEM
  ibrav = 0, nat = 4, ntyp = 3
/
ATOMIC_SPECIES
Sn 118.71 Sn.upf
S 32.06 S.upf
Cl 35.45 Cl.upf
ATOMIC_POSITIONS crystal
Sn 0.250 0.250 0.250
Sn 0.750 0.750 0.750
S 0.000 0.000 0.000
Cl 0.500 0.500 0.500
CELL_PARAMETERS angstrom
0.000 3.601 3.601
3.601 0.000 3.601
3.601 3.601 0.000
```

# SnS5Cl

A relaxed structure of SnS5Cl (PBE, Alexandria via LeMat-Bulk). Values from VASP.

Summary:
raw formation energy	-0.104	eV per atom
final energy	-3.8883	eV/atom

The structure in Quantum ESPRESSO input format:
```
&SYSTEM
  ibrav = 0, nat = 7, ntyp = 3
/
ATOMIC_SPECIES
Sn 118.71 Sn.upf
S 32.06 S.upf
Cl 35.45 Cl.upf
ATOMIC_POSITIONS crystal
Sn 0.000 0.000 0.000
S 0.364 0.516 0.269
S 0.484 0.636 0.731
S 0.544 0.145 0.270
S 0.757 0.243 0.000
S 0.855 0.456 0.730
Cl 0.057 0.943 0.500
CELL_PARAMETERS angstrom
2.450 -10.655 0.000
2.450 10.655 0.000
-1.794 0.000 4.328
```

# SnSCl3

A relaxed structure of SnSCl3 (PBE, Alexandria via LeMat-Bulk). Values from VASP.

Summary:
raw formation energy	-0.080	eV per atom
final energy	-2.8137	eV/atom

The structure in Quantum ESPRESSO input format:
```
&SYSTEM
  ibrav = 0, nat = 5, ntyp = 3
/
ATOMIC_SPECIES
Sn 118.71 Sn.upf
S 32.06 S.upf
Cl 35.45 Cl.upf
ATOMIC_POSITIONS crystal
Sn 0.000 0.000 0.000
S 0.500 0.500 0.500
Cl 0.000 0.000 0.500
Cl 0.000 0.500 0.000
Cl 0.500 0.000 0.000
CELL_PARAMETERS angstrom
5.316 0.000 0.000
0.000 5.316 0.000
0.000 0.000 5.316
```

# Sn2SCl2

A relaxed structure of Sn2SCl2 (PBE, Alexandria via LeMat-Bulk). Values from VASP.

Summary:
raw formation energy	-0.580	eV per atom
final energy	-3.7455	eV/atom

The structure in Quantum ESPRESSO input format:
```
&SYSTEM
  ibrav = 0, nat = 10, ntyp = 3
/
ATOMIC_SPECIES
Sn 118.71 Sn.upf
S 32.06 S.upf
Cl 35.45 Cl.upf
ATOMIC_POSITIONS crystal
Sn 0.179 0.321 0.000
Sn 0.321 0.821 0.000
Sn 0.679 0.179 0.000
Sn 0.821 0.679 0.000
S 0.000 0.000 0.000
S 0.500 0.500 0.000
Cl 0.163 0.663 0.500
Cl 0.337 0.163 0.500
Cl 0.663 0.837 0.500
Cl 0.837 0.337 0.500
CELL_PARAMETERS angstrom
7.550 0.000 0.000
0.000 7.550 0.000
0.000 0.000 4.484
```

# Sn2SCl2

A relaxed structure of Sn2SCl2 (PBE, Alexandria via LeMat-Bulk). Values from VASP.

Summary:
raw formation energy	-0.715	eV per atom
final energy	-3.8806	eV/atom

The structure in Quantum ESPRESSO input format:
```
&SYSTEM
  ibrav = 0, nat = 10, ntyp = 3
/
ATOMIC_SPECIES
Sn 118.71 Sn.upf
S 32.06 S.upf
Cl 35.45 Cl.upf
ATOMIC_POSITIONS crystal
Sn 0.163 0.250 0.091
Sn 0.211 0.250 0.613
Sn 0.789 0.750 0.387
Sn 0.837 0.750 0.909
S 0.158 0.250 0.928
S 0.842 0.750 0.072
Cl 0.062 0.750 0.704
Cl 0.232 0.750 0.470
Cl 0.768 0.250 0.530
Cl 0.938 0.250 0.296
CELL_PARAMETERS angstrom
5.522 0.000 0.000
0.000 4.011 0.000
-2.562 0.000 15.890
```

# Sn2S2Cl

A relaxed structure of Sn2S2Cl (PBE, Alexandria via LeMat-Bulk). Values from VASP.

Summary:
raw formation energy	-0.505	eV per atom
final energy	-4.1267	eV/atom

The structure in Quantum ESPRESSO input format:
```
&SYSTEM
  ibrav = 0, nat = 5, ntyp = 3
/
ATOMIC_SPECIES
Sn 118.71 Sn.upf
S 32.06 S.upf
Cl 35.45 Cl.upf
ATOMIC_POSITIONS crystal
Sn 0.179 0.179 0.000
Sn 0.821 0.821 0.000
S 0.328 0.828 0.500
S 0.672 0.172 0.500
Cl 0.000 0.500 0.500
CELL_PARAMETERS angstrom
-2.039 2.736 6.114
2.039 -2.736 6.114
2.039 2.736 -6.114
```

# Sn4SCl6

A relaxed structure of Sn4SCl6 (PBE, Alexandria via LeMat-Bulk). Values from VASP.

Summary:
raw formation energy	-0.836	eV per atom
final energy	-3.6740	eV/atom

The structure in Quantum ESPRESSO input format:
```
&SYSTEM
  ibrav = 0, nat = 22, ntyp = 3
/
ATOMIC_SPECIES
Sn 118.71 Sn.upf
S 32.06 S.upf
Cl 35.45 Cl.upf
ATOMIC_POSITIONS crystal
Sn 0.002 0.250 0.047
Sn 0.250 0.002 0.547
Sn 0.250 0.498 0.547
Sn 0.498 0.250 0.047
Sn 0.502 0.750 0.953
Sn 0.750 0.502 0.453
Sn 0.750 0.998 0.453
Sn 0.998 0.750 0.953
S 0.250 0.750 0.750
S 0.750 0.250 0.250
Cl 0.050 0.550 0.250
Cl 0.050 0.950 0.250
Cl 0.250 0.250 0.312
Cl 0.250 0.250 0.812
Cl 0.450 0.550 0.250
Cl 0.450 0.950 0.250
Cl 0.550 0.050 0.750
Cl 0.550 0.450 0.750
Cl 0.750 0.750 0.188
Cl 0.750 0.750 0.688
Cl 0.950 0.050 0.750
Cl 0.950 0.450 0.750
CELL_PARAMETERS angstrom
9.721 0.000 0.000
0.000 9.721 0.000
0.000 0.000 6.846
```

# Sn2SCl

A relaxed structure of Sn2SCl (PBE, Alexandria via LeMat-Bulk). Values from VASP.

Summary:
raw formation energy	-0.418	eV per atom
final energy	-3.9132	eV/atom

The structure in Quantum ESPRESSO input format:
```
&SYSTEM
  ibrav = 0, nat = 4, ntyp = 3
/
ATOMIC_SPECIES
Sn 118.71 Sn.upf
S 32.06 S.upf
Cl 35.45 Cl.upf
ATOMIC_POSITIONS crystal
Sn 0.000 0.000 0.000
Sn 0.183 0.183 0.183
S 0.584 0.584 0.584
Cl 0.751 0.751 0.751
CELL_PARAMETERS angstrom
1.865 1.077 8.531
-1.865 1.077 8.531
0.000 -2.154 8.531
```

# Sn4S2Cl5

A relaxed structure of Sn4S2Cl5 (PBE, Alexandria via LeMat-Bulk). Values from VASP.

Summary:
raw formation energy	-0.721	eV per atom
final energy	-3.7667	eV/atom

The structure in Quantum ESPRESSO input format:
```
&SYSTEM
  ibrav = 0, nat = 11, ntyp = 3
/
ATOMIC_SPECIES
Sn 118.71 Sn.upf
S 32.06 S.upf
Cl 35.45 Cl.upf
ATOMIC_POSITIONS crystal
Sn 0.019 0.451 0.294
Sn 0.362 0.776 0.043
Sn 0.638 0.224 0.957
Sn 0.981 0.549 0.706
S 0.480 0.546 0.871
S 0.520 0.454 0.129
Cl 0.121 0.263 0.740
Cl 0.194 0.110 0.115
Cl 0.500 0.500 0.500
Cl 0.806 0.890 0.885
Cl 0.879 0.737 0.260
CELL_PARAMETERS angstrom
4.145 0.000 0.000
2.071 9.006 0.000
0.026 0.581 10.478
```

# Sn5S12Cl3

A relaxed structure of Sn5S12Cl3 (PBE, Alexandria via LeMat-Bulk). Values from VASP.

Summary:
raw formation energy	0.031	eV per atom
final energy	-3.7230	eV/atom

The structure in Quantum ESPRESSO input format:
```
&SYSTEM
  ibrav = 0, nat = 80, ntyp = 3
/
ATOMIC_SPECIES
Sn 118.71 Sn.upf
S 32.06 S.upf
Cl 35.45 Cl.upf
ATOMIC_POSITIONS crystal
Sn 0.000 0.000 0.000
Sn 0.000 0.000 0.500
Sn 0.000 0.500 0.000
Sn 0.000 0.500 0.500
Sn 0.125 0.750 0.875
Sn 0.125 0.875 0.250
Sn 0.250 0.125 0.875
Sn 0.250 0.625 0.375
Sn 0.375 0.250 0.625
Sn 0.375 0.625 0.750
Sn 0.500 0.000 0.000
Sn 0.500 0.000 0.500
Sn 0.500 0.500 0.000
Sn 0.500 0.500 0.500
Sn 0.625 0.375 0.250
Sn 0.625 0.750 0.375
Sn 0.750 0.375 0.625
Sn 0.750 0.875 0.125
Sn 0.875 0.125 0.750
Sn 0.875 0.250 0.125
S 0.015 0.222 0.058
S 0.015 0.293 0.957
S 0.043 0.558 0.336
S 0.043 0.985 0.707
S 0.058 0.015 0.222
S 0.058 0.543 0.836
S 0.164 0.722 0.707
S 0.164 0.942 0.457
S 0.207 0.222 0.664
S 0.207 0.485 0.543
S 0.222 0.058 0.015
S 0.222 0.664 0.207
S 0.278 0.293 0.836
S 0.278 0.485 0.442
S 0.293 0.836 0.278
S 0.293 0.957 0.015
S 0.336 0.043 0.558
S 0.336 0.793 0.778
S 0.442 0.278 0.485
S 0.442 0.664 0.957
S 0.457 0.164 0.942
S 0.457 0.793 0.515
S 0.485 0.442 0.278
S 0.485 0.543 0.207
S 0.515 0.457 0.793
S 0.515 0.558 0.722
S 0.543 0.207 0.485
S 0.543 0.836 0.058
S 0.558 0.336 0.043
S 0.558 0.722 0.515
S 0.664 0.207 0.222
S 0.664 0.957 0.442
S 0.707 0.043 0.985
S 0.707 0.164 0.722
S 0.722 0.515 0.558
S 0.722 0.707 0.164
S 0.778 0.336 0.793
S 0.778 0.942 0.985
S 0.793 0.515 0.457
S 0.793 0.778 0.336
S 0.836 0.058 0.543
S 0.836 0.278 0.293
S 0.942 0.457 0.164
S 0.942 0.985 0.778
S 0.957 0.015 0.293
S 0.957 0.442 0.664
S 0.985 0.707 0.043
S 0.985 0.778 0.942
Cl 0.125 0.250 0.375
Cl 0.125 0.375 0.750
Cl 0.250 0.375 0.125
Cl 0.250 0.875 0.625
Cl 0.375 0.125 0.250
Cl 0.375 0.750 0.125
Cl 0.625 0.250 0.875
Cl 0.625 0.875 0.750
Cl 0.750 0.125 0.375
Cl 0.750 0.625 0.875
Cl 0.875 0.625 0.250
Cl 0.875 0.750 0.625
CELL_PARAMETERS angstrom
-8.372 8.372 8.372
8.372 -8.372 8.372
8.372 8.372 -8.372
```

# Sn2S2Cl

A relaxed structure of Sn2S2Cl (PBE, Alexandria via LeMat-Bulk). Values from VASP.

Summary:
raw formation energy	-0.405	eV per atom
final energy	-4.0265	eV/atom

The structure in Quantum ESPRESSO input format:
```
&SYSTEM
  ibrav = 0, nat = 10, ntyp = 3
/
ATOMIC_SPECIES
Sn 118.71 Sn.upf
S 32.06 S.upf
Cl 35.45 Cl.upf
ATOMIC_POSITIONS crystal
Sn 0.077 0.923 0.750
Sn 0.325 0.675 0.250
Sn 0.675 0.325 0.750
Sn 0.923 0.077 0.250
S 0.060 0.284 0.081
S 0.284 0.060 0.581
S 0.716 0.940 0.419
S 0.940 0.716 0.919
Cl 0.358 0.642 0.750
Cl 0.642 0.358 0.250
CELL_PARAMETERS angstrom
5.248 -4.865 0.000
5.248 4.865 0.000
-4.177 0.000 5.489
```

# Sn2SCl

A relaxed structure of Sn2SCl (PBE, Alexandria via LeMat-Bulk). Values from VASP.

Summary:
raw formation energy	-0.215	eV per atom
final energy	-3.7098	eV/atom

The structure in Quantum ESPRESSO input format:
```
&SYSTEM
  ibrav = 0, nat = 8, ntyp = 3
/
ATOMIC_SPECIES
Sn 118.71 Sn.upf
S 32.06 S.upf
Cl 35.45 Cl.upf
ATOMIC_POSITIONS crystal
Sn 0.102 0.625 0.977
Sn 0.375 0.352 0.477
Sn 0.648 0.125 0.023
Sn 0.875 0.898 0.523
S 0.000 0.000 0.000
S 0.750 0.250 0.500
Cl 0.250 0.750 0.500
Cl 0.500 0.500 0.000
CELL_PARAMETERS angstrom
-2.651 2.651 8.540
2.651 -2.651 8.540
2.651 2.651 -8.540
```

# Sn2SCl

A relaxed structure of Sn2SCl (PBE, Alexandria via LeMat-Bulk). Values from VASP.

Summary:
raw formation energy	-0.405	eV per atom
final energy	-3.8998	eV/atom

The structure in Quantum ESPRESSO input format:
```
&SYSTEM
  ibrav = 0, nat = 16, ntyp = 3
/
ATOMIC_SPECIES
Sn 118.71 Sn.upf
S 32.06 S.upf
Cl 35.45 Cl.upf
ATOMIC_POSITIONS crystal
Sn 0.038 0.414 0.269
Sn 0.178 0.303 0.724
Sn 0.303 0.178 0.224
Sn 0.414 0.038 0.769
Sn 0.586 0.962 0.231
Sn 0.697 0.822 0.776
Sn 0.822 0.697 0.276
Sn 0.962 0.586 0.731
S 0.062 0.938 0.750
S 0.306 0.694 0.750
S 0.694 0.306 0.250
S 0.938 0.062 0.250
Cl 0.181 0.819 0.250
Cl 0.448 0.552 0.250
Cl 0.552 0.448 0.750
Cl 0.819 0.181 0.750
CELL_PARAMETERS angstrom
4.813 -7.470 0.000
4.813 7.470 0.000
-3.566 0.000 5.861
```

# SnSCl

A relaxed structure of SnSCl (PBE, Alexandria via LeMat-Bulk). Values from VASP.

Summary:
raw formation energy	-0.597	eV per atom
final energy	-3.9228	eV/atom

The structure in Quantum ESPRESSO input format:
```
&SYSTEM
  ibrav = 0, nat = 6, ntyp = 3
/
ATOMIC_SPECIES
Sn 118.71 Sn.upf
S 32.06 S.upf
Cl 35.45 Cl.upf
ATOMIC_POSITIONS crystal
Sn 0.182 0.182 0.258
Sn 0.818 0.818 0.742
S 0.396 0.396 0.534
S 0.604 0.604 0.466
Cl 0.139 0.139 0.834
Cl 0.861 0.861 0.166
CELL_PARAMETERS angstrom
4.651 -2.216 0.000
4.651 2.216 0.000
-0.821 0.000 8.148
```

# Sn2SCl

A relaxed structure of Sn2SCl (PBE, Alexandria via LeMat-Bulk). Values from VASP.

Summary:
raw formation energy	-0.422	eV per atom
final energy	-3.9169	eV/atom

The structure in Quantum ESPRESSO input format:
```
&SYSTEM
  ibrav = 0, nat = 4, ntyp = 3
/
ATOMIC_SPECIES
Sn 118.71 Sn.upf
S 32.06 S.upf
Cl 35.45 Cl.upf
ATOMIC_POSITIONS crystal
Sn 0.242 0.242 0.242
Sn 0.758 0.758 0.758
S 0.500 0.500 0.500
Cl 0.000 0.000 0.000
CELL_PARAMETERS angstrom
1.874 1.082 8.401
-1.874 1.082 8.401
0.000 -2.164 8.401
```

# SnS3Cl3

A relaxed structure of SnS3Cl3 (PBE, Alexandria via LeMat-Bulk). Values from VASP.

Summary:
raw formation energy	-0.286	eV per atom
final energy	-3.4182	eV/atom

The structure in Quantum ESPRESSO input format:
```
&SYSTEM
  ibrav = 0, nat = 14, ntyp = 3
/
ATOMIC_SPECIES
Sn 118.71 Sn.upf
S 32.06 S.upf
Cl 35.45 Cl.upf
ATOMIC_POSITIONS crystal
Sn 0.174 0.174 0.174
Sn 0.826 0.826 0.826
S 0.272 0.464 0.538
S 0.462 0.728 0.536
S 0.464 0.538 0.272
S 0.536 0.462 0.728
S 0.538 0.272 0.464
S 0.728 0.536 0.462
Cl 0.031 0.200 0.508
Cl 0.200 0.508 0.031
Cl 0.492 0.969 0.800
Cl 0.508 0.031 0.200
Cl 0.800 0.492 0.969
Cl 0.969 0.800 0.492
CELL_PARAMETERS angstrom
4.383 2.531 6.836
-4.383 2.531 6.836
0.000 -5.061 6.836
```